No. 1
DFT (GGA-PBE) results for an optimized crystal structure of ZrZnP.

Cell and atoms, written as POSCAR:
```
ZrZnP
1.0
-1.666 1.666 4.619
1.666 -1.666 4.619
1.666 1.666 -4.619
Zr Zn P
1 1 1
direct
0.000 0.000 0.000
0.695 0.695 0.000
0.341 0.341 0.000
```

Calculated values
Crystal system: tetragonal
Magnetization (μB per formula unit): 0.0
Symmetry: I4mm (107)
Raw total energy (hartree per atom): -0.200
Energy of formation (meV per atom): -374

***

No. 2
DFT (GGA-PBE) results for an optimized crystal structure of Hf2ScZn.

Cell and atoms, written as POSCAR:
```
Hf2ScZn
1.0
-3.911 3.911 2.846
3.911 -3.911 2.846
3.911 3.911 -2.846
Hf Sc Zn
4 2 2
direct
0.087 0.625 0.962
0.375 0.337 0.462
0.663 0.125 0.038
0.875 0.913 0.538
0.250 0.750 0.500
0.500 0.500 0.000
0.000 0.000 0.000
0.750 0.250 0.500
```

Calculated values
Crystal system: tetragonal
Magnetization (μB per formula unit): 0.0
Symmetry: I-42d (122)
Raw total energy (hartree per atom): -0.241
Energy of formation (meV per atom): 327

***

No. 3
DFT (GGA-PBE) results for an optimized crystal structure of Rb3AcU2O9.

Cell and atoms, written as POSCAR:
```
Rb3AcU2O9
1.0
6.321 0.000 0.000
-3.161 5.474 0.000
0.000 0.000 7.779
Rb Ac U O
3 1 2 9
direct
0.000 0.000 0.000
0.333 0.667 0.667
0.667 0.333 0.333
0.000 0.000 0.500
0.333 0.667 0.157
0.667 0.333 0.843
0.000 0.500 0.000
0.182 0.363 0.309
0.182 0.818 0.309
0.363 0.182 0.691
0.500 0.000 0.000
0.500 0.500 0.000
0.637 0.818 0.309
0.818 0.182 0.691
0.818 0.637 0.691
```

Calculated values
Crystal system: trigonal
Magnetization (μB per formula unit): 0.0
Symmetry: P-3m1 (164)
Raw total energy (hartree per atom): -0.286

***

No. 4
DFT (GGA-PBE) results for an optimized crystal structure of PmYNp2S4.

Cell and atoms, written as POSCAR:
```
PmYNp2S4
1.0
6.791 0.000 0.000
0.000 3.951 0.000
-2.313 0.000 6.471
Pm Y Np S
1 1 2 4
direct
0.000 0.000 0.000
0.000 0.500 0.500
0.500 0.000 0.500
0.500 0.500 0.000
0.253 0.000 0.748
0.256 0.500 0.258
0.744 0.500 0.742
0.747 0.000 0.252
```

Calculated values
Crystal system: monoclinic
Magnetization (μB per formula unit): 0.1
Symmetry: P2/m (10)
Raw total energy (hartree per atom): -0.308